DFT (PBE-GGA) results for a relaxed LaGdTlNi crystal.

- E_form (meV per atom) = -203
- DOS at the Fermi energy (states/eV per cell) = 17.36

a b c (Å): 7.4776 7.4776 7.4776
angles (deg): 90.00 90.00 90.00
With the nearest neighbours (Å) after each atom.
Space group F-43m (No. 216)
One atom of each set of equivalent atoms:
La1 0.0000 0.0000 0.0000 (multiplicity 4)  4 Tl 3.24, 4 Ni 3.24
Gd1 0.0000 0.0000 0.5000 (multiplicity 4)  4 Ni 3.24, 4 Tl 3.24
Tl1 0.2500 0.2500 0.2500 (multiplicity 4)  4 Gd 3.24, 4 La 3.24
Ni1 0.2500 0.2500 0.7500 (multiplicity 4)  4 Gd 3.24, 4 La 3.24